1.
Density functional theory data (PBE) for a relaxed NbPOsO crystal.

Relative energy among the computed polymorphs: 0.876 eV per atom
Space-group type: P4/nmm, No. 129
Energy: -7.929 eV/atom

POSCAR file:
```
NbPOsO
1.0
4.283 0.000 0.000
0.000 4.283 0.000
0.000 0.000 5.826
Nb O Os P
2 2 2 2
direct
0.000 0.000 0.500 Nb
0.500 0.500 0.500 Nb
0.000 0.000 0.000 O
0.500 0.500 0.000 O
0.000 0.500 0.124 Os
0.500 0.000 0.876 Os
0.500 0.000 0.282 P
0.000 0.500 0.718 P
```

***

2.
Density functional theory data (PBE) for a relaxed Li17Ag4 crystal.

Space-group type: C2, No. 5
Energy: -2.184 eV/atom

POSCAR file:
```
Li17Ag4
1.0
-0.623 4.848 2.092
-0.738 4.455 -2.807
-27.927 -7.436 1.254
Ag Li
8 34
direct
0.731 0.691 0.071 Ag
0.145 0.128 0.211 Ag
0.547 0.180 0.289 Ag
0.959 0.620 0.429 Ag
0.380 0.041 0.571 Ag
0.820 0.453 0.711 Ag
0.872 0.855 0.789 Ag
0.309 0.269 0.929 Ag
0.670 0.330 0.000 Li
0.249 0.211 0.023 Li
0.163 0.783 0.050 Li
0.640 0.256 0.095 Li
0.212 0.173 0.119 Li
0.089 0.750 0.145 Li
0.667 0.638 0.164 Li
0.587 0.206 0.197 Li
0.070 0.683 0.241 Li
0.622 0.625 0.259 Li
0.105 0.103 0.303 Li
0.024 0.672 0.336 Li
0.603 0.559 0.355 Li
0.477 0.137 0.381 Li
0.050 0.053 0.405 Li
0.528 0.528 0.450 Li
0.439 0.101 0.477 Li
0.021 0.979 0.500 Li
0.899 0.561 0.523 Li
0.472 0.472 0.550 Li
0.947 0.950 0.595 Li
0.863 0.523 0.619 Li
0.441 0.397 0.645 Li
0.328 0.976 0.664 Li
0.897 0.895 0.697 Li
0.375 0.378 0.741 Li
0.317 0.930 0.759 Li
0.794 0.413 0.803 Li
0.362 0.333 0.836 Li
0.250 0.911 0.855 Li
0.827 0.788 0.881 Li
0.744 0.360 0.905 Li
0.217 0.837 0.950 Li
0.789 0.751 0.977 Li
```

***

3.
Density functional theory data (PBE) for a relaxed DyErInC crystal.

Space-group type: P-3m1, No. 164
Energy: -5.684 eV/atom

POSCAR file:
```
DyErInC
1.0
-1.118 2.325 -2.480
-1.791 -3.053 0.527
-9.330 7.397 11.138
C Dy Er In
2 2 2 2
direct
0.000 0.000 0.000 C
0.000 0.000 0.500 C
0.333 0.667 0.417 Dy
0.667 0.333 0.583 Dy
0.333 0.667 0.082 Er
0.667 0.333 0.918 Er
0.667 0.333 0.248 In
0.333 0.667 0.752 In
```

***

4.
Density functional theory data (PBE) for a relaxed LuGePt2 crystal.

Space-group type: Pmc2_1, No. 26
Energy: -6.134 eV/atom

POSCAR file:
```
LuGePt2
1.0
4.054 0.000 0.000
0.000 5.568 0.000
0.000 0.000 6.940
Ge Lu Pt
2 2 4
direct
0.500 0.145 0.202 Ge
0.500 0.855 0.702 Ge
0.000 0.657 0.320 Lu
0.000 0.343 0.820 Lu
0.500 0.554 0.051 Pt
0.000 0.133 0.427 Pt
0.500 0.446 0.551 Pt
0.000 0.867 0.927 Pt
```

***

5.
Density functional theory data (PBE) for a relaxed Mg3Ga3Pt2Au crystal.

Space-group type: P-62m, No. 189
Energy: -3.841 eV/atom

POSCAR file:
```
Mg3Ga3Pt2Au
1.0
-7.173 1.020 -0.120
3.051 -3.637 5.474
0.390 2.947 1.741
Au Ga Mg Pt
1 3 3 2
direct
0.000 0.000 0.000 Au
0.288 0.000 0.500 Ga
0.000 0.288 0.500 Ga
0.712 0.712 0.500 Ga
0.610 0.000 0.000 Mg
0.390 0.390 0.000 Mg
0.000 0.610 0.000 Mg
0.667 0.333 0.500 Pt
0.333 0.667 0.500 Pt
```

***

6.
Density functional theory data (PBE) for a relaxed Zr2Al2Pt crystal.

Space-group type: I4/mmm, No. 139
Energy: -6.364 eV/atom

POSCAR file:
```
Zr2Al2Pt
1.0
-1.768 1.768 7.947
1.768 -1.768 7.947
1.768 1.768 -7.947
Al Pt Zr
2 1 2
direct
0.750 0.250 0.500 Al
0.250 0.750 0.500 Al
0.000 0.000 0.000 Pt
0.401 0.401 0.000 Zr
0.599 0.599 0.000 Zr
```

***

7.
Density functional theory data (PBE) for a relaxed KCuGeTeS2 crystal.

Space-group type: Cmcm, No. 63
Energy: -3.846 eV/atom

POSCAR file:
```
KCuGeTeS2
1.0
1.797 -7.837 0.000
1.797 7.837 0.000
0.000 0.000 10.814
Cu Ge K S Te
2 2 2 4 2
direct
0.058 0.942 0.250 Cu
0.942 0.058 0.750 Cu
0.500 0.500 0.000 Ge
0.500 0.500 0.500 Ge
0.736 0.264 0.250 K
0.264 0.736 0.750 K
0.107 0.893 0.057 S
0.107 0.893 0.443 S
0.893 0.107 0.557 S
0.893 0.107 0.943 S
0.431 0.569 0.250 Te
0.569 0.431 0.750 Te
```

***

8.
Density functional theory data (PBE) for a relaxed CuHgMoAs crystal.

Relative energy among the computed polymorphs: 0.316 eV per atom
Space-group type: F-43m, No. 216
Energy: -4.040 eV/atom

POSCAR file:
```
CuHgMoAs
1.0
-1.470 -4.010 -1.916
-4.530 -1.164 0.194
-2.606 0.081 -3.888
As Cu Hg Mo
1 1 1 1
direct
0.000 0.000 0.000 As
0.750 0.750 0.750 Cu
0.250 0.250 0.250 Hg
0.500 0.500 0.500 Mo
```

***

9.
Density functional theory data (PBE) for a relaxed AcNdNO crystal.

Relative energy among the computed polymorphs: 0.055 eV per atom
Space-group type: Pmc2_1, No. 26
Energy: -7.417 eV/atom

POSCAR file:
```
AcNdNO
1.0
0.801 3.416 -2.153
-3.627 3.202 3.731
5.539 1.360 4.218
Ac N Nd O
2 2 2 2
direct
0.500 0.987 0.167 Ac
0.500 0.487 0.833 Ac
0.000 0.875 0.355 N
0.000 0.375 0.645 N
0.000 0.491 0.331 Nd
0.000 0.991 0.669 Nd
0.500 0.401 0.190 O
0.500 0.901 0.810 O
```

***

10.
Density functional theory data (PBE) for a relaxed NbGaSn crystal.

Relative energy among the computed polymorphs: 0.000 eV per atom
Space-group type: F-43m, No. 216
Energy: -5.305 eV/atom

POSCAR file:
```
NbGaSn
1.0
2.306 1.331 3.765
-2.306 1.331 3.765
0.000 -2.662 3.765
Ga Nb Sn
1 1 1
direct
0.250 0.250 0.250 Ga
0.000 0.000 0.000 Nb
0.750 0.750 0.750 Sn
```

***

11.
Density functional theory data (PBE) for a relaxed NpTaGe crystal.

Space-group type: F-43m, No. 216
Energy: -9.313 eV/atom

POSCAR file:
```
NpTaGe
1.0
3.047 -1.256 3.075
0.222 2.143 3.959
-1.329 -2.085 3.769
Ge Np Ta
1 1 1
direct
0.000 0.000 0.000 Ge
0.250 0.250 0.250 Np
0.750 0.750 0.750 Ta
```

***

12.
Density functional theory data (PBE) for a relaxed NaSnHg3Se4 crystal.

Relative energy among the computed polymorphs: 0.000 eV per atom
Space-group type: P2_1/m, No. 11
Energy: -2.506 eV/atom

POSCAR file:
```
NaSnHg3Se4
1.0
-1.381 -5.502 -4.758
7.117 -3.446 1.920
-3.758 -2.913 8.702
Hg Na Se Sn
6 2 8 2
direct
0.243 0.023 0.022 Hg
0.243 0.477 0.022 Hg
0.270 0.750 0.340 Hg
0.730 0.250 0.660 Hg
0.757 0.523 0.978 Hg
0.757 0.977 0.978 Hg
0.217 0.250 0.361 Na
0.783 0.750 0.639 Na
0.959 0.250 0.081 Se
0.488 0.511 0.285 Se
0.488 0.989 0.285 Se
0.972 0.750 0.419 Se
0.028 0.250 0.581 Se
0.512 0.011 0.715 Se
0.512 0.489 0.715 Se
0.041 0.750 0.919 Se
0.696 0.750 0.193 Sn
0.304 0.250 0.807 Sn
```

***

- What is the energy in the fourth record?
  -6.134 eV/atom